Material: LaPr12Al4O3
Method: DFT, PBE
State: relaxed

Cell: 8.8677 8.8677 8.8677 Å, 109.47 109.47 109.47°
Element x y z (fractional)
1 La 0.0000 0.0000 0.0000
2 Pr 0.0000 0.2717 0.2717
3 Pr 0.0000 0.7283 0.7283
4 Pr 0.2500 0.5000 0.7500
5 Pr 0.2500 0.7500 0.5000
6 Pr 0.2717 0.0000 0.2717
7 Pr 0.2717 0.2717 0.0000
8 Pr 0.5000 0.2500 0.7500
9 Pr 0.5000 0.7500 0.2500
10 Pr 0.7283 0.0000 0.7283
11 Pr 0.7283 0.7283 0.0000
12 Pr 0.7500 0.2500 0.5000
13 Pr 0.7500 0.5000 0.2500
14 Al 0.0000 0.0000 0.5000
15 Al 0.0000 0.5000 0.0000
16 Al 0.5000 0.0000 0.0000
17 Al 0.5000 0.5000 0.5000
18 O 0.0000 0.5000 0.5000
19 O 0.5000 0.0000 0.5000
20 O 0.5000 0.5000 0.0000

Output
Mass density (g/cm³): 6.1
ΔE_f (raw) (kJ/mol of formula units): -1346
Energy (eV per atom): -5.30

=====

Material: Nd2NpHg
Method: DFT, PBE
State: relaxed

Cell: 12.1392 12.1392 12.1392 Å, 16.15 16.15 16.15°
Element x y z (fractional)
1 Nd 0.0929 0.0929 0.0929
2 Nd 0.9071 0.9071 0.9071
3 Np 0.0000 0.0000 0.0000
4 Hg 0.5000 0.5000 0.5000

Output
Mass density (g/cm³): 10.0
Energy (eV per atom): -5.32
E_form (meV/atom): 376

=====

Material: LaNi
Method: DFT, PBE
State: relaxed

Cell: 3.5321 3.5321 7.5574 Å, 90.00 90.00 90.00°
Element x y z (fractional)
1 La 0.2500 0.2500 0.2211
2 La 0.7500 0.7500 0.7789
3 Ni 0.2500 0.2500 0.5778
4 Ni 0.7500 0.7500 0.4222

Output
Mass density (g/cm³): 7.0
Energy (eV per atom): -5.41
E_form (meV/atom): -54

=====

Material: Mo3OsC
Method: DFT, PBE
State: relaxed

Cell: 4.1169 4.1169 4.1169 Å, 90.00 90.00 90.00°
Element x y z (fractional)
1 Mo 0.0000 0.0000 0.5000
2 Mo 0.0000 0.5000 0.0000
3 Mo 0.5000 0.0000 0.0000
4 Os 0.5000 0.5000 0.5000
5 C 0.0000 0.0000 0.0000

Output
Mass density (g/cm³): 11.7
Energy (eV per atom): -10.45
E_form (meV/atom): 143
Offset from the most stable computed form (meV/atom): 0

=====

Material: Mn2SiAu2
Method: DFT, PBE
State: relaxed

Cell: 5.9005 5.9005 4.2274 Å, 90.00 90.00 90.00°
Element x y z (fractional)
1 Mn 0.1237 0.3763 0.0000
2 Mn 0.3763 0.8763 0.0000
3 Mn 0.6237 0.1237 0.0000
4 Mn 0.8763 0.6237 0.0000
5 Si 0.0000 0.0000 0.0000
6 Si 0.5000 0.5000 0.0000
7 Au 0.1765 0.6765 0.5000
8 Au 0.3235 0.1765 0.5000
9 Au 0.6765 0.8235 0.5000
10 Au 0.8235 0.3235 0.5000

Output
Mass density (g/cm³): 12.0
ΔE_f (raw) (kJ/mol of formula units): 97
Energy (eV per atom): -5.86
Offset from the most stable computed form (meV/atom): 28

=====

Material: TlCrAg2
Method: DFT, PBE
State: relaxed

Cell: 3.3640 3.7344 6.3395 Å, 90.00 90.00 90.00°
Element x y z (fractional)
1 Tl 0.0000 0.0000 0.0000
2 Cr 0.0000 0.0000 0.5000
3 Ag 0.5000 0.5000 0.2769
4 Ag 0.5000 0.5000 0.7231

Output
Mass density (g/cm³): 9.8
Energy (eV per atom): -4.06
E_form (meV/atom): 360

=====

Material: HoTaNiOs
Method: DFT, PBE
State: relaxed

Cell: 4.5956 4.5956 4.5956 Å, 60.00 60.00 60.00°
Element x y z (fractional)
1 Ho 0.0000 0.0000 0.0000
2 Ta 0.5000 0.5000 0.5000
3 Ni 0.2500 0.2500 0.2500
4 Os 0.7500 0.7500 0.7500

Output
Mass density (g/cm³): 14.4
Energy (eV per atom): -8.54
E_form (meV/atom): -177

=====

Material: AcAgAs2
Method: DFT, PBE
State: relaxed

Cell: 11.4047 4.2344 11.4062 Å, 79.28 21.40 79.32°
Element x y z (fractional)
1 Ac 0.1162 0.8838 0.1162
2 Ac 0.8838 0.1162 0.8838
3 Ag 0.2480 0.2480 0.2520
4 Ag 0.7480 0.7480 0.7520
5 As 0.0581 0.4861 0.9419
6 As 0.3309 0.6673 0.3327
7 As 0.4861 0.0581 0.5139
8 As 0.6673 0.3309 0.6691

Output
Mass density (g/cm³): 8.2
Energy (eV per atom): -4.84
E_form (meV/atom): -773
Offset from the most stable computed form (meV/atom): 0

=====

Material: Zr2ScTe
Method: DFT, PBE
State: relaxed

Cell: 3.7300 3.7300 6.5248 Å, 90.00 90.00 90.00°
Element x y z (fractional)
1 Zr 0.0000 0.0000 0.0000
2 Zr 0.5000 0.5000 0.2585
3 Sc 0.0000 0.0000 0.5160
4 Te 0.5000 0.5000 0.7563

Output
Mass density (g/cm³): 6.5
ΔE_f (raw) (kJ/mol of formula units): -171
Energy (eV per atom): -7.08

=====

Material: NaMgV
Method: DFT, PBE
State: relaxed

Cell: 5.1936 5.1936 5.9293 Å, 90.00 90.00 120.00°
Element x y z (fractional)
1 Na 0.0000 0.0000 0.0000
2 Na 0.0000 0.0000 0.5000
3 Mg 0.3333 0.6667 0.2500
4 Mg 0.6667 0.3333 0.7500
5 V 0.3333 0.6667 0.7500
6 V 0.6667 0.3333 0.2500

Output
Mass density (g/cm³): 2.4
Energy (eV per atom): -3.23
E_form (meV/atom): 782
Offset from the most stable computed form (meV/atom): 581

=====

Material: Zr5Fe
Method: DFT, PBE
State: relaxed

Cell: 5.6862 5.6862 7.4107 Å, 108.49 108.49 33.74°
Element x y z (fractional)
1 Zr 0.0000 0.0000 0.0000
2 Zr 0.3265 0.3265 0.1880
3 Zr 0.3645 0.3645 0.6353
4 Zr 0.6355 0.6355 0.3647
5 Zr 0.6735 0.6735 0.8120
6 Fe 0.0000 0.0000 0.5000

Output
Mass density (g/cm³): 6.8
Energy (eV per atom): -8.55
E_form (meV/atom): -21
Offset from the most stable computed form (meV/atom): 0

=====

Material: AlNiPb2
Method: DFT, PBE
State: relaxed

Cell: 5.1258 5.1258 3.4265 Å, 93.89 93.89 100.57°
Element x y z (fractional)
1 Al 0.0000 0.0000 0.0000
2 Ni 0.5000 0.5000 0.0000
3 Pb 0.0000 0.5000 0.5000
4 Pb 0.5000 0.0000 0.5000

Output
Mass density (g/cm³): 9.4
Energy (eV per atom): -3.86
E_form (meV/atom): 376

=====

Material: MgB4O7
Method: DFT, PBE
State: relaxed

Cell: 8.1183 8.7338 13.8964 Å, 90.00 90.00 90.00°
Element x y z (fractional)
1 Mg 0.1211 0.1018 0.1124
2 Mg 0.1211 0.3982 0.6124
3 Mg 0.3789 0.6018 0.1124
4 Mg 0.3789 0.8982 0.6124
5 Mg 0.6211 0.1018 0.3876
6 Mg 0.6211 0.3982 0.8876
7 Mg 0.8789 0.6018 0.3876
8 Mg 0.8789 0.8982 0.8876
9 B 0.0162 0.5766 0.1660
10 B 0.0162 0.9234 0.6660
11 B 0.0363 0.1625 0.7646
12 B 0.0363 0.3375 0.2646
13 B 0.0691 0.7037 0.5672
14 B 0.0691 0.7963 0.0672
15 B 0.1773 0.1370 0.4652
16 B 0.1773 0.3630 0.9652
17 B 0.3227 0.6370 0.4652
18 B 0.3227 0.8630 0.9652
19 B 0.4309 0.2037 0.5672
20 B 0.4309 0.2963 0.0672
21 B 0.4637 0.6625 0.7646
22 B 0.4637 0.8375 0.2646
23 B 0.4838 0.0766 0.1660
24 B 0.4838 0.4234 0.6660
25 B 0.5162 0.5766 0.3340
26 B 0.5162 0.9234 0.8340
27 B 0.5363 0.1625 0.7354
28 B 0.5363 0.3375 0.2354
29 B 0.5691 0.7037 0.9328
30 B 0.5691 0.7963 0.4328
31 B 0.6773 0.1370 0.0348
32 B 0.6773 0.3630 0.5348
33 B 0.8227 0.6370 0.0348
34 B 0.8227 0.8630 0.5348
35 B 0.9309 0.2037 0.9328
36 B 0.9309 0.2963 0.4328
37 B 0.9637 0.6625 0.7354
38 B 0.9637 0.8375 0.2354
39 B 0.9838 0.0766 0.3340
40 B 0.9838 0.4234 0.8340
41 O 0.0119 0.6022 0.6475
42 O 0.0119 0.8978 0.1475
43 O 0.0328 0.1806 0.2472
44 O 0.0328 0.3194 0.7472
45 O 0.0769 0.2423 0.9962
46 O 0.0769 0.2577 0.4962
47 O 0.0887 0.0671 0.6940
48 O 0.0887 0.4329 0.1940
49 O 0.1350 0.0507 0.3885
50 O 0.1350 0.4493 0.8885
51 O 0.1403 0.6595 0.1082
52 O 0.1403 0.8405 0.6082
53 O 0.1760 0.6042 0.5117
54 O 0.1760 0.8958 0.0117
55 O 0.3240 0.1042 0.5117
56 O 0.3240 0.3958 0.0117
57 O 0.3597 0.1595 0.1082
58 O 0.3597 0.3405 0.6082
59 O 0.3650 0.5507 0.3885
60 O 0.3650 0.9493 0.8885
61 O 0.4113 0.5671 0.6940
62 O 0.4113 0.9329 0.1940
63 O 0.4231 0.7423 0.9962
64 O 0.4231 0.7577 0.4962
65 O 0.4672 0.6806 0.2472
66 O 0.4672 0.8194 0.7472
67 O 0.4881 0.1022 0.6475
68 O 0.4881 0.3978 0.1475
69 O 0.5119 0.6022 0.8525
70 O 0.5119 0.8978 0.3525
71 O 0.5328 0.1806 0.2528
72 O 0.5328 0.3194 0.7528
73 O 0.5769 0.2423 0.5038
74 O 0.5769 0.2577 0.0038
75 O 0.5887 0.0671 0.8060
76 O 0.5887 0.4329 0.3060
77 O 0.6350 0.0507 0.1115
78 O 0.6350 0.4493 0.6115
79 O 0.6403 0.6595 0.3918
80 O 0.6403 0.8405 0.8918
81 O 0.6760 0.6042 0.9883
82 O 0.6760 0.8958 0.4883
83 O 0.8240 0.1042 0.9883
84 O 0.8240 0.3958 0.4883
85 O 0.8597 0.1595 0.3918
86 O 0.8597 0.3405 0.8918
87 O 0.8650 0.5507 0.1115
88 O 0.8650 0.9493 0.6115
89 O 0.9113 0.5671 0.8060
90 O 0.9113 0.9329 0.3060
91 O 0.9231 0.7423 0.5038
92 O 0.9231 0.7577 0.0038
93 O 0.9672 0.6806 0.2528
94 O 0.9672 0.8194 0.7528
95 O 0.9881 0.1022 0.8525
96 O 0.9881 0.3978 0.3525

Output
Mass density (g/cm³): 2.4
ΔE_f (raw) (kJ/mol of formula units): -2921
Energy (eV per atom): -7.77
Offset from the most stable computed form (meV/atom): 0

=====

Material: CsAgMo
Method: DFT, PBE
State: relaxed

Cell: 9.7711 3.3736 12.3109 Å, 90.00 90.00 90.00°
Element x y z (fractional)
1 Cs 0.0864 0.2500 0.1772
2 Cs 0.4136 0.7500 0.6772
3 Cs 0.5864 0.2500 0.3228
4 Cs 0.9136 0.7500 0.8228
5 Ag 0.2449 0.7500 0.4119
6 Ag 0.2551 0.2500 0.9119
7 Ag 0.7449 0.7500 0.0881
8 Ag 0.7551 0.2500 0.5881
9 Mo 0.0701 0.2500 0.5350
10 Mo 0.4299 0.7500 0.0350
11 Mo 0.5701 0.2500 0.9650
12 Mo 0.9299 0.7500 0.4650

Output
Mass density (g/cm³): 5.5
Energy (eV per atom): -4.06
E_form (meV/atom): 786
Offset from the most stable computed form (meV/atom): 0

=====

Material: Si2Au
Method: DFT, PBE
State: relaxed

Cell: 3.5760 3.5760 4.1098 Å, 90.00 90.00 90.00°
Element x y z (fractional)
1 Si 0.0000 0.5000 0.0000
2 Si 0.5000 0.0000 0.0000
3 Au 0.0000 0.0000 0.5000

Output
Mass density (g/cm³): 8.0
ΔE_f (raw) (kJ/mol of formula units): 66
Energy (eV per atom): -4.48
Offset from the most stable computed form (meV/atom): 130

=====

Material: Nd2Er2In3
Method: DFT, PBE
State: relaxed

Cell: 4.3243 5.9397 8.9718 Å, 100.43 103.35 90.36°
Element x y z (fractional)
1 Nd 0.1427 0.0686 0.2880
2 Nd 0.8573 0.9314 0.7120
3 Er 0.3900 0.4691 0.7970
4 Er 0.6100 0.5309 0.2030
5 In 0.2361 0.6513 0.4657
6 In 0.5000 0.0000 0.0000
7 In 0.7639 0.3487 0.5343

Output
Mass density (g/cm³): 7.3
Energy (eV per atom): -4.08
E_form (meV/atom): -241
Offset from the most stable computed form (meV/atom): 64

=====

Material: MoPdN3
Method: DFT, PBE
State: relaxed

Cell: 3.8276 3.8276 3.8276 Å, 90.00 90.00 90.00°
Element x y z (fractional)
1 Mo 0.0000 0.0000 0.0000
2 Pd 0.5000 0.5000 0.5000
3 N 0.0000 0.5000 0.5000
4 N 0.5000 0.0000 0.5000
5 N 0.5000 0.5000 0.0000

Output
Mass density (g/cm³): 7.2
ΔE_f (raw) (kJ/mol of formula units): 963
Energy (eV per atom): -6.20

=====

Material: Ni2RuCl
Method: DFT, PBE
State: relaxed

Cell: 6.3623 6.3623 6.3623 Å, 155.15 144.76 43.60°
Element x y z (fractional)
1 Ni 0.0000 0.0000 0.0000
2 Ni 0.6167 0.1167 0.5000
3 Ru 0.4354 0.4354 0.0000
4 Cl 0.2624 0.7624 0.5000

Output
Mass density (g/cm³): 6.8
ΔE_f (raw) (kJ/mol of formula units): 179
Energy (eV per atom): -5.21
Offset from the most stable computed form (meV/atom): 196

=====

Material: BaPbCl3
Method: DFT, PBE
State: relaxed

Cell: 5.7076 5.7076 5.7076 Å, 90.00 90.00 90.00°
Element x y z (fractional)
1 Ba 0.0000 0.0000 0.0000
2 Pb 0.5000 0.5000 0.5000
3 Cl 0.0000 0.5000 0.5000
4 Cl 0.5000 0.0000 0.5000
5 Cl 0.5000 0.5000 0.0000

Output
Mass density (g/cm³): 4.0
ΔE_f (raw) (kJ/mol of formula units): -594
Energy (eV per atom): -3.47
Offset from the most stable computed form (meV/atom): 84

=====

Material: Pr4NdIn2
Method: DFT, PBE
State: relaxed

Cell: 5.5392 12.7055 6.5979 Å, 90.00 90.00 90.00°
Element x y z (fractional)
1 Pr 0.0014 0.1700 0.3531
2 Pr 0.0014 0.3300 0.8531
3 Pr 0.4982 0.6579 0.4955
4 Pr 0.4982 0.8421 0.9955
5 Pr 0.5018 0.1579 0.0045
6 Pr 0.5018 0.3421 0.5045
7 Pr 0.9986 0.6700 0.1469
8 Pr 0.9986 0.8300 0.6469
9 Nd 0.5000 0.0000 0.5000
10 Nd 0.5000 0.5000 0.0000
11 In 0.0018 0.0672 0.8118
12 In 0.0018 0.4328 0.3118
13 In 0.9982 0.5672 0.6882
14 In 0.9982 0.9328 0.1882

Output
Mass density (g/cm³): 6.7
Energy (eV per atom): -4.44
E_form (meV/atom): -249
Offset from the most stable computed form (meV/atom): 0